# 1
LaYHo3Th: relaxed, GGA-PBE.

Unit cell a=5.0739 b=8.0163 c=10.7054 alpha=116.05 beta=90.00 gamma=90.00
Fractional positions:
1 Th 0.2500 0.6180 0.1205
2 Th 0.7500 0.3820 0.8795
3 Y 0.7500 0.8685 0.3705
4 Y 0.2500 0.1315 0.6295
5 La 0.7500 0.8763 0.7092
6 La 0.2500 0.1237 0.2908
7 Ho 0.7500 0.3819 0.2055
8 Ho 0.7500 0.3769 0.5452
9 Ho 0.2500 0.1341 0.9583
10 Ho 0.7500 0.8659 0.0417
11 Ho 0.2500 0.6181 0.7945
12 Ho 0.2500 0.6231 0.4548

***

# 2
La2Y6Ho2Th: relaxed, GGA-PBE.

Unit cell a=6.1111 b=6.1111 c=11.1987 alpha=92.31 beta=92.31 gamma=115.81
Fractional positions:
1 Ho 0.7160 0.2840 0.0000
2 Ho 0.2840 0.7160 0.0000
3 Y 0.6196 0.9525 0.2530
4 Y 0.9525 0.6196 0.2530
5 Y 0.2473 0.2473 0.1977
6 Y 0.0475 0.3804 0.7470
7 Y 0.3804 0.0475 0.7470
8 Y 0.7527 0.7527 0.8023
9 Th 0.0000 0.0000 0.5000
10 La 0.3425 0.6575 0.5000
11 La 0.6575 0.3425 0.5000

***

# 3
LaYHoTh: relaxed, GGA-PBE.

Unit cell a=3.6187 b=3.6187 c=10.1183 alpha=90.00 beta=90.00 gamma=90.00
Fractional positions:
1 Y 0.5000 0.5000 0.8085
2 Ho 0.5000 0.5000 0.3335
3 Th 0.0000 0.0000 0.5693
4 La 0.0000 0.0000 0.0734

Calculated values
Energy above the lowest structure with this stoichiometry (meV/atom): 0

***

# 4
La3Y6Ho2Th: relaxed, GGA-PBE.

Unit cell a=6.2515 b=6.2515 c=11.9167 alpha=95.02 beta=95.02 gamma=120.01
Fractional positions:
1 Y 0.2487 0.2487 0.7559
2 Y 0.7513 0.7513 0.2441
3 Y 0.9185 0.5882 0.7559
4 Y 0.5882 0.9185 0.7559
5 Y 0.0815 0.4118 0.2441
6 Y 0.4118 0.0815 0.2441
7 Ho 0.6668 0.3332 0.0000
8 Ho 0.3332 0.6668 0.0000
9 La 0.1670 0.8330 0.5000
10 La 0.5000 0.5000 0.5000
11 La 0.8330 0.1670 0.5000
12 Th 0.0000 0.0000 0.0000

***

# 5
LaY6Ho2Th3: relaxed, GGA-PBE.

Unit cell a=6.2160 b=6.2160 c=11.8021 alpha=95.05 beta=95.05 gamma=120.01
Fractional positions:
1 Y 0.2496 0.2496 0.7446
2 Y 0.0853 0.4199 0.2555
3 Y 0.5801 0.9147 0.7445
4 Y 0.4199 0.0853 0.2555
5 Y 0.9147 0.5801 0.7445
6 Y 0.7504 0.7504 0.2554
7 Ho 0.6669 0.3331 0.0000
8 Ho 0.3331 0.6669 0.0000
9 La 0.0000 0.0000 0.0000
10 Th 0.8337 0.1663 0.5000
11 Th 0.5000 0.5000 0.5000
12 Th 0.1663 0.8337 0.5000

***

# 6
LaY3Ho6Th2: relaxed, GGA-PBE.

Unit cell a=6.1920 b=6.1920 c=11.7419 alpha=95.05 beta=95.05 gamma=119.96
Fractional positions:
1 Th 0.3334 0.6666 0.0000
2 Th 0.6666 0.3334 0.0000
3 Y 0.8335 0.1665 0.5000
4 Y 0.1665 0.8335 0.5000
5 Y 0.5000 0.5000 0.5000
6 Ho 0.2553 0.2553 0.7516
7 Ho 0.9166 0.5780 0.7519
8 Ho 0.5780 0.9166 0.7519
9 Ho 0.0834 0.4220 0.2481
10 Ho 0.4220 0.0834 0.2481
11 Ho 0.7447 0.7447 0.2484
12 La 0.0000 0.0000 0.0000

***

# 7
LaHoThZn: relaxed, GGA-PBE.

Unit cell a=3.6171 b=3.6171 c=8.6862 alpha=90.00 beta=90.00 gamma=90.00
Fractional positions:
1 La 0.0000 0.0000 0.1015
2 Th 0.5000 0.5000 0.8103
3 Zn 0.5000 0.5000 0.3387
4 Ho 0.0000 0.0000 0.5342

***

# 8
LaHoThZr: relaxed, GGA-PBE.

Unit cell a=5.5378 b=5.5378 c=5.5378 alpha=60.00 beta=60.00 gamma=60.00
Fractional positions:
1 Th 0.5000 0.5000 0.5000
2 Ho 0.7500 0.7500 0.7500
3 Zr 0.2500 0.2500 0.2500
4 La 0.0000 0.0000 0.0000

***

# 9
La2HoTi: relaxed, GGA-PBE.

Unit cell a=3.5586 b=3.5586 c=9.3329 alpha=90.00 beta=90.00 gamma=90.00
Fractional positions:
1 Ho 0.5000 0.5000 0.5000
2 La 0.0000 0.0000 0.7747
3 La 0.0000 0.0000 0.2253
4 Ti 0.5000 0.5000 0.0000

Calculated values
Energy above the lowest structure with this stoichiometry (meV/atom): 0

***

# 10
La2HoTi: relaxed, GGA-PBE.

Unit cell a=3.5211 b=3.5211 c=11.1201 alpha=80.89 beta=80.89 gamma=60.00
Fractional positions:
1 Ti 0.0000 0.0000 0.0000
2 La 0.7422 0.7422 0.7735
3 La 0.2578 0.2578 0.2265
4 Ho 0.5000 0.5000 0.5000

Calculated values
Energy above the lowest structure with this stoichiometry (meV/atom): 47

***

# 11
La2Ho2Tl3: relaxed, GGA-PBE.

Unit cell a=5.3836 b=8.4739 c=5.5369 alpha=70.99 beta=89.97 gamma=108.53
Fractional positions:
1 La 0.8747 0.7492 0.6253
2 La 0.1253 0.2508 0.3747
3 Ho 0.6185 0.2371 0.8808
4 Ho 0.3815 0.7629 0.1192
5 Tl 0.7487 0.4972 0.2508
6 Tl 0.2513 0.5028 0.7492
7 Tl 0.0000 0.0000 0.0000

Calculated values
Energy above the lowest structure with this stoichiometry (meV/atom): 4

***

# 12
LaHoTl: relaxed, GGA-PBE.

Unit cell a=4.8156 b=4.8141 c=8.4098 alpha=90.00 beta=89.98 gamma=90.00
Last column: magnetic moment on the atom in μB.
Fractional positions:
1 Ho 0.7500 0.7500 0.5001  0.40
2 Ho 0.2500 0.2500 0.4999  0.40
3 Tl 0.2498 0.7500 0.7563  -0.01
4 Tl 0.7502 0.2500 0.2437  -0.01
5 La 0.2501 0.7500 0.1481  0.20
6 La 0.7499 0.2500 0.8519  0.20

Calculated values
Energy above the lowest structure with this stoichiometry (meV/atom): 9

***

# 13
La2HoTl3: relaxed, GGA-PBE.

Unit cell a=3.8235 b=6.8178 c=14.9139 alpha=90.00 beta=97.36 gamma=90.00
Fractional positions:
1 Ho 0.3336 0.7500 0.6672
2 Ho 0.6664 0.2500 0.3328
3 Tl 0.7495 0.7500 0.4990
4 Tl 0.4212 0.4884 0.8424
5 Tl 0.4212 0.0116 0.8424
6 Tl 0.5788 0.5116 0.1576
7 Tl 0.2505 0.2500 0.5010
8 Tl 0.5788 0.9884 0.1576
9 La 0.0061 0.2500 0.0121
10 La 0.8432 0.2500 0.6863
11 La 0.9939 0.7500 0.9879
12 La 0.1568 0.7500 0.3137

Calculated values
Energy above the lowest structure with this stoichiometry (meV/atom): 152

***

# 14
LaHo3Tl4: relaxed, GGA-PBE.

Unit cell a=5.4339 b=7.6427 c=10.8680 alpha=90.00 beta=90.00 gamma=90.00
Fractional positions:
1 Tl 0.5000 0.7610 0.0000
2 Tl 0.0021 0.7610 0.2500
3 Tl 0.5000 0.2390 0.5000
4 Tl 0.0021 0.2390 0.2500
5 Tl 0.9979 0.2390 0.7500
6 Tl 0.9979 0.7610 0.7500
7 Tl 0.5000 0.2390 0.0000
8 Tl 0.5000 0.7610 0.5000
9 La 0.0000 0.5000 0.0000
10 La 0.0000 0.5000 0.5000
11 Ho 0.0000 0.0000 0.5000
12 Ho 0.0000 0.0000 0.0000
13 Ho 0.5019 0.0000 0.2500
14 Ho 0.4984 0.5000 0.7500
15 Ho 0.4981 0.0000 0.7500
16 Ho 0.5016 0.5000 0.2500

***

# 15
La3Ho3Tl2: relaxed, GGA-PBE.

Unit cell a=5.1541 b=6.5672 c=16.9779 alpha=90.00 beta=90.00 gamma=113.10
Fractional positions:
1 Ho 0.3659 0.7319 0.9570
2 Ho 0.6341 0.2681 0.4570
3 Ho 0.6341 0.2681 0.0430
4 Ho 0.3659 0.7319 0.5430
5 Ho 0.5778 0.1557 0.7500
6 Ho 0.4222 0.8443 0.2500
7 La 0.9501 0.9002 0.3958
8 La 0.0499 0.0998 0.8958
9 La 0.9501 0.9002 0.1042
10 La 0.0499 0.0998 0.6042
11 La 0.7046 0.4092 0.2500
12 La 0.2954 0.5908 0.7500
13 Tl 0.7624 0.5247 0.6193
14 Tl 0.2376 0.4753 0.1193
15 Tl 0.2376 0.4753 0.3807
16 Tl 0.7624 0.5247 0.8807

***

# 16
LaHo4Tl: relaxed, GGA-PBE.

Unit cell a=5.6332 b=6.5616 c=10.9786 alpha=90.00 beta=104.87 gamma=90.00
Fractional positions:
1 Ho 0.2543 0.5953 0.5087
2 Ho 0.4623 0.8849 0.9247
3 Ho 0.9394 0.2058 0.8788
4 Ho 0.0606 0.7058 0.1212
5 Ho 0.3188 0.0725 0.6377
6 Ho 0.6812 0.5725 0.3623
7 Ho 0.5377 0.3849 0.0753
8 Ho 0.7457 0.0953 0.4913
9 Tl 0.6027 0.9555 0.2055
10 Tl 0.3973 0.4555 0.7945
11 La 0.1353 0.2194 0.2706
12 La 0.8647 0.7194 0.7294

Calculated values
Energy above the lowest structure with this stoichiometry (meV/atom): 149

***

# 17
La2Ho2Tl3: relaxed, GGA-PBE.

Unit cell a=3.5671 b=3.6054 c=16.7246 alpha=90.00 beta=83.88 gamma=90.00
Last column: magnetic moment on the atom in μB.
Fractional positions:
1 Tl 0.8579 0.0000 0.2843  0.01
2 Tl 0.1421 0.0000 0.7157  0.01
3 Tl 0.0000 0.0000 0.0000  0.00
4 La 0.5711 0.5000 0.8577  0.01
5 La 0.4289 0.5000 0.1423  0.01
6 Ho 0.7041 0.5000 0.5918  0.25
7 Ho 0.2959 0.5000 0.4082  0.25

Calculated values
Energy above the lowest structure with this stoichiometry (meV/atom): 0

***

# 18
LaHo2Tl9: relaxed, GGA-PBE.

Unit cell a=4.8062 b=4.8062 c=14.3842 alpha=90.00 beta=90.00 gamma=90.00
Fractional positions:
1 La 0.0000 0.0000 0.0000
2 Tl 0.5000 0.5000 0.0000
3 Tl 0.5000 0.0000 0.8273
4 Tl 0.0000 0.5000 0.8273
5 Tl 0.5000 0.5000 0.6647
6 Tl 0.5000 0.5000 0.3353
7 Tl 0.0000 0.5000 0.1727
8 Tl 0.0000 0.5000 0.5000
9 Tl 0.5000 0.0000 0.1727
10 Tl 0.5000 0.0000 0.5000
11 Ho 0.0000 0.0000 0.3371
12 Ho 0.0000 0.0000 0.6629

***

# 19
La6Ho12Tl: relaxed, GGA-PBE.

Unit cell a=8.5403 b=8.5403 c=8.5403 alpha=89.48 beta=89.48 gamma=89.48
Fractional positions:
1 La 0.3042 0.7349 0.9075
2 La 0.0925 0.6958 0.2651
3 La 0.9075 0.3042 0.7349
4 La 0.2651 0.0925 0.6958
5 La 0.7349 0.9075 0.3042
6 La 0.6958 0.2651 0.0925
7 Ho 0.2221 0.4648 0.5627
8 Ho 0.8188 0.6394 0.9826
9 Ho 0.3606 0.0174 0.1812
10 Ho 0.4648 0.5627 0.2221
11 Ho 0.5627 0.2221 0.4648
12 Ho 0.1812 0.3606 0.0174
13 Ho 0.7779 0.5352 0.4373
14 Ho 0.4373 0.7779 0.5352
15 Ho 0.0174 0.1812 0.3606
16 Ho 0.6394 0.9826 0.8188
17 Ho 0.9826 0.8188 0.6394
18 Ho 0.5352 0.4373 0.7779
19 Tl 0.0000 0.0000 0.0000

***

# 20
La2Ho3Tl2: relaxed, GGA-PBE.

Unit cell a=4.7034 b=6.6002 c=8.3422 alpha=108.75 beta=90.00 gamma=110.87
Fractional positions:
1 La 0.1383 0.2765 0.7894
2 La 0.8617 0.7235 0.2106
3 Tl 0.1609 0.3218 0.2107
4 Tl 0.8391 0.6782 0.7893
5 Ho 0.6276 0.2552 0.4454
6 Ho 0.5000 0.0000 0.0000
7 Ho 0.3724 0.7448 0.5546

***

| no. | calculated formation energy (eV per atom) |
| --- | --- |
| 1 | 0.037 |
| 2 | 0.180 |
| 3 | 0.017 |
| 4 | 0.020 |
| 5 | 0.024 |
| 6 | 0.031 |
| 7 | -0.151 |
| 8 | 0.158 |
| 9 | 0.200 |
| 10 | 0.248 |
| 11 | -0.243 |
| 12 | -0.265 |
| 13 | -0.247 |
| 14 | -0.346 |
| 15 | -0.124 |
| 16 | 0.052 |
| 17 | -0.247 |
| 18 | -0.265 |
| 19 | 0.078 |
| 20 | -0.171 |